# BaLuFe4O7, optimized geometry, DFT PBE with a Hubbard U
# **Total magnetic moment**: 1.308 μB per atom
# **Uncorrected energy**: -6.89 eV per atom
data_BaLuFe4O7
_chemical_formula_sum 'Ba2 Lu2 Fe8 O14'
_space_group_name_H-M_alt 'I -4'
_space_group_IT_number 82
_space_group_name_Hall 'I -4'
_cell_length_a 6.2876
_cell_length_b 6.2876
_cell_length_c 9.2616
_cell_angle_alpha 90.00
_cell_angle_beta 90.00
_cell_angle_gamma 90.00
loop_
_atom_site_label
_atom_site_type_symbol
_atom_site_fract_x
_atom_site_fract_y
_atom_site_fract_z
Ba1 Ba 0.0000 0.0000 0.0000
Lu1 Lu 0.0000 0.5000 0.2500
Fe1 Fe 0.0309 0.2597 0.6305
O1 O 0.0000 0.0000 0.5000
O2 O 0.0000 0.5000 0.0080
O3 O 0.1946 0.2046 0.2285